# 1
The following is a PBE calculation of AsBrF after structural relaxation, from the Alexandria database.

Computed properties:
The space group is C2/m. Its formation energy without anion corrections is -0.979 eV per atom. The calculation puts the excess energy over the best structure of this formula in the dataset at 0.081 eV/atom.

Cell and atoms, written as POSCAR:
```
AsBrF
1.0
5.242 -2.584 0.000
5.242 2.584 0.000
-3.843 0.000 6.742
As Br F
2 2 2
Cartesian
-0.256 0.000 1.279
6.896 0.000 5.463
1.609 0.000 4.860
5.031 0.000 1.883
-1.828 0.000 5.742
8.468 0.000 1.000
```

=====

# 2
The following is a PBE calculation of Be2SnPt2 after structural relaxation, from the Alexandria database.

Computed properties:
The space group is I4/mmm. The calculation puts the excess energy over the best structure of this formula in the dataset at 0.000 eV/atom. For the formation energy, the calculation gives -0.482 eV/atom.

Cell and atoms, written as POSCAR:
```
Be2SnPt2
1.0
-1.709 1.709 6.304
1.709 -1.709 6.304
1.709 1.709 -6.304
Be Sn Pt
2 1 2
Cartesian
1.709 0.000 3.152
0.000 1.709 3.152
0.000 0.000 0.000
0.000 0.000 4.768
0.000 0.000 7.839
```

=====

# 3
The following is a PBE calculation of CaSiTc after structural relaxation, from the Alexandria database.

Computed properties:
The space group is P3m1. Its formation energy without anion corrections is 0.112 eV per atom. The calculation puts the excess energy over the best structure of this formula in the dataset at 0.507 eV/atom.

Cell and atoms, written as POSCAR:
```
CaSiTc
1.0
3.495 0.000 0.000
-1.748 3.027 0.000
0.000 0.000 5.781
Ca Si Tc
1 1 1
Cartesian
0.000 0.000 0.000
0.000 2.018 2.256
1.748 1.009 3.492
```

=====

# 4
The following is a PBE calculation of BaAg2F4 after structural relaxation, from the Alexandria database.

Computed properties:
The space group is I4_1/a. Its formation energy without anion corrections is -2.200 eV per atom. The calculation puts the excess energy over the best structure of this formula in the dataset at 0.000 eV/atom.

Cell and atoms, written as POSCAR:
```
BaAg2F4
1.0
-3.321 3.321 6.020
3.321 -3.321 6.020
3.321 3.321 -6.020
Ba Ag F
2 4 8
Cartesian
0.000 1.660 1.505
3.321 1.660 4.515
1.660 1.660 -3.010
1.660 -1.660 3.010
3.321 0.000 0.000
0.000 0.000 6.020
1.299 0.535 -0.601
2.195 0.361 2.409
2.195 3.682 -2.409
2.022 -0.535 5.419
1.299 3.855 0.601
1.126 -0.361 8.429
1.126 2.960 3.611
2.022 2.786 6.621
```

=====

# 5
The following is a PBE calculation of SrSc2In2 after structural relaxation, from the Alexandria database.

Computed properties:
The space group is I4/mmm. The calculation puts the excess energy over the best structure of this formula in the dataset at 0.072 eV/atom. For the formation energy, the calculation gives -0.240 eV/atom.

Cell and atoms, written as POSCAR:
```
SrSc2In2
1.0
-2.339 2.339 6.717
2.339 -2.339 6.717
2.339 2.339 -6.717
Sr Sc In
1 2 2
Cartesian
0.000 0.000 0.000
2.339 0.000 3.359
0.000 2.339 3.359
0.000 0.000 5.269
0.000 0.000 8.166
```

=====

# 6
The following is a PBE calculation of SbPd2Rh2 after structural relaxation, from the Alexandria database.

Computed properties:
The space group is P4/mbm. Its formation energy without anion corrections is 0.002 eV per atom.

Cell and atoms, written as POSCAR:
```
SbPd2Rh2
1.0
6.570 0.000 0.000
0.000 6.570 0.000
0.000 0.000 3.983
Sb Pd Rh
2 4 4
Cartesian
0.000 0.000 0.000
3.285 3.285 0.000
1.062 2.223 1.991
2.223 5.508 1.991
4.347 1.062 1.991
5.508 4.347 1.991
0.897 4.181 0.000
2.388 0.897 0.000
4.181 5.673 0.000
5.673 2.388 0.000
```

=====

# 7
The following is a PBE calculation of TlW2Cl after structural relaxation, from the Alexandria database.

Computed properties:
The space group is Cm. Its formation energy without anion corrections is 0.841 eV per atom. The calculation puts the excess energy over the best structure of this formula in the dataset at 0.550 eV/atom.

Cell and atoms, written as POSCAR:
```
TlW2Cl
1.0
5.612 -1.522 0.000
5.612 1.522 0.000
-2.384 0.000 4.987
Tl W Cl
1 2 1
Cartesian
0.000 0.000 0.000
1.237 0.000 2.981
4.941 0.000 2.695
8.384 0.000 1.573
```

=====

# 8
The following is a PBE calculation of TaIrW2 after structural relaxation, from the Alexandria database.

Computed properties:
The space group is Cmmm. The calculation puts the excess energy over the best structure of this formula in the dataset at 0.038 eV/atom. For the formation energy, the calculation gives -0.062 eV/atom.

Cell and atoms, written as POSCAR:
```
TaIrW2
1.0
1.851 -2.055 0.000
1.851 2.055 0.000
0.000 0.000 8.584
Ta Ir W
1 1 2
Cartesian
0.000 0.000 0.000
0.000 0.000 4.292
1.851 0.000 2.317
1.851 0.000 6.267
```

=====

no.,total magnetic moment (μB/f.u.)
1,0.0
2,0.0
3,0.0
4,0.0
5,0.0
6,0.4
7,0.0
8,0.0